1.
4
Lattice="5.8216 -0.0160 0.0008 4.4775 3.7206 0.0008 -0.0014 -0.0005 4.1347" Properties=species:S:1:pos:R:3 comment="GGA-PBE Y2CuSe, relaxed" polymorph_energy_ev_per_fu=0.63 m_tot_mub_per_fu=0.00 vol_a3_per_fu=89.9 pbc="T T T"
Se 2.9577 1.0639 0.5180
Y 0.1335 0.0480 0.5164
Y 7.5220 2.7057 2.5862
Cu 4.8332 1.7385 2.5837

2.
14
Lattice="-1.3979 -0.3576 -5.6885 8.3784 4.0030 -2.3106 -0.7070 -9.5114 0.7717" Properties=species:S:1:pos:R:3 comment="GGA-PBE Sm3DyTh3, relaxed" formation_enthalpy_0k_ev_per_atom=0.062 m_tot_mub_per_fu=0.00 vol_a3_per_fu=232.7 pbc="T T T"
Th 4.4420 -2.4885 -2.4488
Sm -0.5479 -7.5378 -0.9051
Dy 1.9720 -5.0960 -1.6779
Th 1.8316 -3.3775 -4.7787
Sm 5.1322 -4.2656 -5.5339
Sm 1.1414 -1.6003 -1.6935
Sm 5.3226 -6.1497 -2.4350
Th 3.6735 0.8792 -2.4716
Th 2.6000 -6.7452 -4.7558
Th 6.8860 -0.1643 -3.1955
Sm 6.8214 1.6719 -6.3223
Th -0.6124 -5.7016 -4.0320
Dy 4.3015 -0.7700 -5.5496
Sm 0.9510 0.2838 -4.7924

Number 1: final energy -5.99 eV/atom. Number 2: final energy -5.80 eV/atom.